Compound: CsHg3Te4Pb
Source: the Open Quantum Materials Database
Functional: PBE-GGA
Structure: optimized geometry

Summary:
Mass density ... 5.80 Mg/m³
E ... -2.1802 eV per atom

a b c (Å): 7.4634 7.4634 7.4634
angles (deg): 90.00 90.00 90.00
Atoms (fractional coordinates):
Cs: 0.0000 0.0000 0.0000
Hg: 0.0000 0.5000 0.5000
Hg: 0.5000 0.0000 0.5000
Hg: 0.5000 0.5000 0.0000
Te: 0.2711 0.2711 0.2711
Te: 0.2711 0.7289 0.7289
Te: 0.7289 0.2711 0.7289
Te: 0.7289 0.7289 0.2711
Pb: 0.5000 0.5000 0.5000